Entry 1:
VASP calculation (PBE) on a relaxed TmFeSi2Os crystal.

The calculation puts the total magnetization at 0.7 μB/cell. The crystal system is tetragonal.

```
TmFeSi2Os
1.0
-2.010 2.010 4.834
2.010 -2.010 4.834
2.010 2.010 -4.834
Si Tm Fe Os
2 1 1 1
Cartesian
2.010 0.000 1.197
2.010 0.000 3.637
0.000 2.010 2.417
0.000 0.000 0.000
0.000 0.000 4.834
```

Entry 2:
VASP calculation (PBE) on a relaxed RbCdCu crystal.

The crystal system is cubic. As for the energy above the most stable polymorph in this dataset: 0.0 meV/atom.

```
RbCdCu
1.0
5.044 -0.454 -1.317
2.354 -4.668 0.228
1.340 -2.473 -4.413
Cu Cd Rb
1 1 1
Cartesian
0.000 0.000 0.000
2.184 -1.899 -1.376
6.553 -5.697 -4.127
```

Entry 3:
VASP calculation (PBE) on a relaxed CuI2 crystal.

The crystal system is cubic.

```
CuI2
1.0
4.160 2.402 6.794
-4.160 2.402 6.794
0.000 -4.804 6.794
I Cu
4 2
Cartesian
2.080 1.201 11.040
-2.080 1.201 11.040
0.000 0.000 7.643
0.000 -2.402 11.040
0.000 0.000 10.191
0.000 0.000 5.095
```

Entry 4:
VASP calculation (PBE) on a relaxed CoNiSb crystal.

The calculation puts the total magnetization at 3.9 μB/cell. The crystal system is orthorhombic.

```
CoNiSb
1.0
5.056 0.000 0.000
0.000 4.005 0.000
0.000 0.000 8.306
Co Ni Sb
4 4 4
Cartesian
1.397 1.001 5.724
3.926 1.001 6.734
1.131 3.004 1.571
3.659 3.004 2.581
4.343 1.001 4.087
1.814 1.001 0.065
0.714 3.004 4.218
3.242 3.004 8.240
1.869 1.001 3.032
3.188 3.004 5.273
4.397 1.001 1.120
0.659 3.004 7.185
```

The calculation returns the following VASP energy values, one per record and in order: -38.284; -4.510; -13.227; -66.661 eV for the cell shown.